YZrP2 after structural relaxation, computed with GGA-PBE.

The structure belongs to space group P2/m (No. 10); the cell edges are 3.3631, 3.5200 and 6.7805 Å and the angles 90.00°, 103.42° and 90.00°. The asymmetric unit holds Y at (0.0000, 0.0000, 0.0000), Zr at (0.0000, 0.0000, 0.5000) and P at (0.4873, 0.5000, 0.2727).

The value obtained for the formation energy is -1.02 eV/atom. The energy above the lowest structure with this stoichiometry comes out at 179 kJ/mol of formula units.